No. 1
Entry from Alexandria via LeMat-Bulk: a relaxed AcCe2ThSb4 crystal (PBE).

Its uncorrected energy is -6.03 eV/atom. The calculated density is 7.50 Mg/m³. As for the energy relative to the elements, uncorrected: -1.05 eV per atom.

It has space group P2/m (No. 10), with a = 7.9239 Å, b = 4.5764 Å, c = 7.9420 Å, α = 90.00°, β = 109.44° and γ = 90.00°. The inequivalent atoms are Ac at (0.0000, 0.0000, 0.0000), Ce at (0.5000, 0.0000, 0.5000), Ce at (0.5000, 0.5000, 0.0000), Th at (0.0000, 0.5000, 0.5000), Sb at (0.2544, 0.0000, 0.7431) and Sb at (0.2611, 0.5000, 0.2632).

=====

No. 2
Entry from Alexandria via LeMat-Bulk: a relaxed AcCeTh2Sb4 crystal (PBE).

Its uncorrected energy is -6.19 eV/atom. The calculated density is 8.05 Mg/m³. As for the energy relative to the elements, uncorrected: -1.02 eV per atom.

It has space group P2/m (No. 10), with a = 7.9162 Å, b = 4.5733 Å, c = 7.9636 Å, α = 90.00°, β = 109.37° and γ = 90.00°. The inequivalent atoms are Ac at (0.0000, 0.0000, 0.0000), Ce at (0.5000, 0.5000, 0.0000), Th at (0.0000, 0.5000, 0.5000), Th at (0.5000, 0.0000, 0.5000), Sb at (0.2543, 0.0000, 0.7438) and Sb at (0.2605, 0.5000, 0.2613).

=====

No. 3
Entry from Alexandria via LeMat-Bulk: a relaxed Ac3CeTh2Sb6 crystal (PBE).

Its uncorrected energy is -5.91 eV/atom. The calculated density is 7.85 Mg/m³. As for the energy relative to the elements, uncorrected: -1.09 eV per atom.

It has space group C2/m (No. 12), with a = 8.0315 Å, b = 13.9270 Å, c = 8.0775 Å, α = 90.00°, β = 109.38° and γ = 90.00°. The inequivalent atoms are Ac at (0.0000, 0.0000, 0.0000), Ac at (0.0000, 0.3339, 0.0000), Ce at (0.0000, 0.5000, 0.5000), Th at (0.0000, 0.1665, 0.5000), Sb at (0.2431, 0.0000, 0.7323) and Sb at (0.2445, 0.3329, 0.7325).

=====

No. 4
Entry from Alexandria via LeMat-Bulk: a relaxed Ac3Ce2ThSb6 crystal (PBE).

Its uncorrected energy is -5.80 eV/atom. The calculated density is 7.48 Mg/m³. As for the energy relative to the elements, uncorrected: -1.11 eV per atom.

It has space group C2/m (No. 12), with a = 8.0449 Å, b = 13.9365 Å, c = 8.0774 Å, α = 90.00°, β = 109.39° and γ = 90.00°. The inequivalent atoms are Ac at (0.0000, 0.0000, 0.0000), Ac at (0.0000, 0.3329, 0.0000), Ce at (0.0000, 0.1666, 0.5000), Th at (0.0000, 0.5000, 0.5000), Sb at (0.2437, 0.3338, 0.7323) and Sb at (0.2450, 0.0000, 0.7325).

=====

No. 5
Entry from Alexandria via LeMat-Bulk: a relaxed AcCe2TmSb4 crystal (PBE).

Its uncorrected energy is -5.67 eV/atom. The calculated density is 7.27 Mg/m³. As for the energy relative to the elements, uncorrected: -1.06 eV per atom.

It has space group P2/m (No. 10), with a = 7.8664 Å, b = 4.5462 Å, c = 7.8735 Å, α = 90.00°, β = 109.44° and γ = 90.00°. The inequivalent atoms are Ac at (0.0000, 0.0000, 0.0000), Ce at (0.5000, 0.0000, 0.5000), Ce at (0.5000, 0.5000, 0.0000), Tm at (0.0000, 0.5000, 0.5000), Sb at (0.2488, 0.0000, 0.7366) and Sb at (0.2589, 0.5000, 0.2665).

=====

No. 6
Entry from Alexandria via LeMat-Bulk: a relaxed Ac2Ce3TmSb6 crystal (PBE).

Its uncorrected energy is -5.68 eV/atom. The calculated density is 7.22 Mg/m³. As for the energy relative to the elements, uncorrected: -1.08 eV per atom.

It has space group C2/m (No. 12), with a = 7.9341 Å, b = 13.7469 Å, c = 7.9432 Å, α = 90.00°, β = 109.56° and γ = 90.00°. The inequivalent atoms are Ac at (0.0000, 0.1648, 0.0000), Ce at (0.0000, 0.0000, 0.5000), Ce at (0.0000, 0.3284, 0.5000), Tm at (0.0000, 0.5000, 0.0000), Sb at (0.2297, 0.5000, 0.7377) and Sb at (0.2440, 0.3407, 0.2566).

=====

Question: Which formula does entry 1 have?
Answer: AcCe2ThSb4